# RbBeB2 GGA-PBE optimized geometry
data_RbBeB2
_cell_length_a 6.806
_cell_length_b 11.544
_cell_length_c 3.642
_cell_angle_alpha 90.00
_cell_angle_beta 114.36
_cell_angle_gamma 90.00
_symmetry_space_group_name_H-M 'C 1 2/m 1'
_symmetry_Int_Tables_number 12
loop_
_symmetry_equiv_pos_as_xyz
'x,y,z'
'-x,-y,-z'
'-x,y,-z'
'x,-y,z'
'x+1/2,y+1/2,z'
'-x+1/2,-y+1/2,-z'
'-x+1/2,y+1/2,-z'
'x+1/2,-y+1/2,z'
loop_
_atom_site_label
_atom_site_type_symbol
_atom_site_fract_x
_atom_site_fract_y
_atom_site_fract_z
Rb1 Rb 0.000 0.221 0.000
Be1 Be 0.168 0.500 0.755
B1 B 0.112 0.500 0.212
B2 B 0.131 0.000 0.609
# spin magnetization = 0.00 μB per cell
# VASP energy = -4.2960 eV/atom